{"formula": "NaDyGe4", "functional": "GGA-PBE", "state": "relaxed", "lattice": [[0.000, 3.968, 3.968], [3.968, 0.000, 3.968], [3.968, 3.968, 0.000]], "species": ["Na", "Dy", "Ge", "Ge", "Ge", "Ge"], "frac_coords": [[0.000, 0.000, 0.000], [0.250, 0.250, 0.250], [0.126, 0.625, 0.625], [0.625, 0.126, 0.625], [0.625, 0.625, 0.126], [0.625, 0.625, 0.625]], "formation_energy_ev_per_fu": -1.5, "volume_a3_per_cell": 124.9, "total_energy_ev_per_fu": -25.92}